DFT (PBE) results for a relaxed Er5AlPd2 crystal.

Structure (POSCAR):
```
Er5AlPd2
1.0
-6.764 -0.212 3.682
-3.201 -3.483 -6.081
6.567 -4.095 3.769
Er Pd Al
10 4 2
Direct
0.517 0.696 0.713
0.983 0.483 0.287
0.000 0.000 0.000
0.483 0.304 0.287
0.804 0.983 0.287
0.500 0.500 0.000
0.017 0.517 0.713
0.304 0.804 0.287
0.696 0.196 0.713
0.196 0.017 0.713
0.866 0.634 0.000
0.134 0.366 0.000
0.634 0.134 0.000
0.366 0.866 0.000
0.250 0.250 0.500
0.750 0.750 0.500
```

Summary:
Uncorrected energy in eV per atom: -5.19
Energy of formation in kJ per mole of atoms: -55.29


DFT (PBE) results for a relaxed ErAl2Pd5 crystal.

Structure (POSCAR):
```
ErAl2Pd5
1.0
-1.542 -2.406 2.516
-1.647 -5.389 -3.283
4.137 -5.001 0.634
Al Pd Er
2 5 1
Direct
0.763 0.737 0.737
0.237 0.263 0.263
0.360 0.846 0.433
0.000 0.500 0.500
0.360 0.433 0.846
0.640 0.567 0.154
0.640 0.154 0.567
0.000 0.000 0.000
```

Summary:
Uncorrected energy in eV per atom: -5.53
Energy of formation in kJ per mole of atoms: -74.79


DFT (PBE) results for a relaxed ErAl6Pd3 crystal.

Structure (POSCAR):
```
ErAl6Pd3
1.0
-0.410 0.541 -4.100
-5.040 -6.300 -0.328
-7.382 7.430 1.718
Pd Al Er
6 12 2
Direct
0.250 0.630 0.162
0.750 0.738 0.546
0.750 0.370 0.838
0.250 0.876 0.939
0.750 0.124 0.061
0.250 0.262 0.454
0.750 0.733 0.306
0.250 0.937 0.560
0.250 0.213 0.951
0.250 0.341 0.229
0.750 0.659 0.771
0.750 0.442 0.083
0.250 0.558 0.917
0.750 0.063 0.440
0.250 0.267 0.694
0.250 0.586 0.436
0.750 0.414 0.564
0.750 0.787 0.049
0.750 0.013 0.772
0.250 0.987 0.228
```

Summary:
Uncorrected energy in eV per atom: -4.85
Energy of formation in kJ per mole of atoms: -56.69


DFT (PBE) results for a relaxed ErAl3Pd4 crystal.

Structure (POSCAR):
```
ErAl3Pd4
1.0
-3.172 2.628 1.296
-2.253 -0.930 3.564
3.633 4.882 6.186
Al Pd Er
3 4 1
Direct
0.242 0.242 0.273
0.500 0.500 0.500
0.758 0.758 0.727
0.400 0.400 0.800
0.600 0.600 0.200
0.133 0.133 0.601
0.867 0.867 0.399
0.000 0.000 0.000
```

Summary:
Uncorrected energy in eV per atom: -5.45
Energy of formation in kJ per mole of atoms: -85.33